## RbYSb2 (PBE)

Data for RbYSb2 after structural relaxation.

Unit cell a=4.7663 b=4.7663 c=23.9289 alpha=90.00 beta=90.00 gamma=120.00
Space group R-3m (No. 166, hexagonal axes)
Symmetry-distinct sites (fractional):
Rb1 0.0000 0.0000 0.0000 x3
Y1 0.0000 0.0000 0.5000 x3
Sb1 0.0000 0.0000 0.2252 x6

Calculated values
The total moment comes out at 0.00 μB per formula unit. The energy relative to the elements, uncorrected is -48 kJ/mol of atoms. The value obtained for the density of states at the Fermi level is 10.8 states/eV/cell.

---

## RbYSb2 (PBE)

Data for RbYSb2 after structural relaxation.

Unit cell a=7.9648 b=7.9648 c=7.9648 alpha=90.00 beta=90.00 gamma=90.00
Space group Fm-3m (No. 225)
Symmetry-distinct sites (fractional):
Rb1 0.0000 0.0000 0.0000 x4
Y1 0.0000 0.0000 0.5000 x4
Sb1 0.2500 0.2500 0.2500 x8

Calculated values
The total moment comes out at 0.00 μB per formula unit. The energy relative to the elements, uncorrected is -31 kJ/mol of atoms. The value obtained for the density of states at the Fermi level is 23.7 states/eV/cell.

---

## RbYSb2 (PBE)

Data for RbYSb2 after structural relaxation.

Unit cell a=6.3983 b=6.3983 c=19.3671 alpha=90.00 beta=90.00 gamma=90.00
Space group I-42d (No. 122)
Symmetry-distinct sites (fractional):
Rb1 0.0000 0.0000 0.0000 x4
Y1 0.0000 0.0000 0.5000 x4
Sb1 0.0682 0.2500 0.6250 x8

Calculated values
The total moment comes out at 0.00 μB per formula unit. The energy relative to the elements, uncorrected is -36 kJ/mol of atoms. The value obtained for the density of states at the Fermi level is 0.9 states/eV/cell.

---

## RbY2Sb2 (PBE)

Data for RbY2Sb2 after structural relaxation.

Unit cell a=5.1956 b=5.1956 c=15.1113 alpha=90.00 beta=90.00 gamma=90.00
Space group I4/mmm (No. 139)
Symmetry-distinct sites (fractional):
Rb1 0.0000 0.0000 0.0000 x2
Y1 0.0000 0.5000 0.2500 x4
Sb1 0.0000 0.0000 0.3573 x4

Calculated values
The total moment comes out at 0.83 μB per formula unit. The energy relative to the elements, uncorrected is -68 kJ/mol of atoms. The value obtained for the density of states at the Fermi level is 6.5 states/eV/cell.

---

## RbY3Sb (PBE)

Data for RbY3Sb after structural relaxation.

Unit cell a=5.9383 b=5.9383 c=5.9383 alpha=90.00 beta=90.00 gamma=90.00
Space group Pm-3m (No. 221)
Symmetry-distinct sites (fractional):
Rb1 0.0000 0.0000 0.0000 x1
Y1 0.0000 0.5000 0.5000 x3
Sb1 0.5000 0.5000 0.5000 x1

Calculated values
The total moment comes out at 3.19 μB per formula unit. The energy relative to the elements, uncorrected is 17 kJ/mol of atoms. The value obtained for the density of states at the Fermi level is 6.8 states/eV/cell.

---

## Rb3YSb (PBE)

Data for Rb3YSb after structural relaxation.

Unit cell a=7.0272 b=7.0272 c=7.0272 alpha=90.00 beta=90.00 gamma=90.00
Space group Pm-3m (No. 221)
Symmetry-distinct sites (fractional):
Rb1 0.0000 0.0000 0.5000 x3
Y1 0.5000 0.5000 0.5000 x1
Sb1 0.0000 0.0000 0.0000 x1

Calculated values
The total moment comes out at 1.00 μB per formula unit. The energy relative to the elements, uncorrected is 47 kJ/mol of atoms. The value obtained for the density of states at the Fermi level is 10.7 states/eV/cell.

---

These records have volume values of 156.9 126.3 198.2 204.0 209.4 347.0 Å³/f.u., in the order they appear.